1.
In2FePt | Alexandria via LeMat-Bulk | PBE-GGA | optimized geometry; DFT total energy = -4.903 eV/atom
1.0
3.078 0.000 0.000
-1.539 2.665 0.000
0.000 0.000 26.147
In Fe Pt
6 3 3
direct
0.000 0.000 0.248
0.000 0.000 0.752
0.333 0.667 0.418
0.333 0.667 0.915
0.667 0.333 0.085
0.667 0.333 0.582
0.000 0.000 0.500
0.333 0.667 0.167
0.667 0.333 0.833
0.000 0.000 0.000
0.333 0.667 0.667
0.667 0.333 0.333

---

2.
InFe2Pt | Alexandria via LeMat-Bulk | PBE-GGA | optimized geometry; DFT total energy = -6.487 eV/atom
1.0
3.972 0.000 0.000
0.000 3.972 0.000
0.000 0.000 7.597
In Fe Pt
2 4 2
direct
0.000 0.000 0.000
0.500 0.500 0.500
0.000 0.000 0.500
0.000 0.500 0.750
0.500 0.000 0.250
0.500 0.500 0.000
0.000 0.500 0.250
0.500 0.000 0.750

---

3.
In2FePt | Alexandria via LeMat-Bulk | PBE-GGA | optimized geometry; DFT total energy = -5.045 eV/atom
1.0
4.374 0.000 0.000
0.000 4.374 0.000
0.000 0.000 3.641
In Fe Pt
2 1 1
direct
0.000 0.500 0.000
0.500 0.000 0.000
0.000 0.000 0.500
0.500 0.500 0.500

---

4.
In2FePt | Alexandria via LeMat-Bulk | PBE-GGA | optimized geometry; DFT total energy = -4.935 eV/atom
1.0
4.764 0.000 0.000
0.000 3.028 0.000
-2.145 0.000 4.988
In Fe Pt
2 1 1
direct
0.000 0.000 0.000
0.000 0.500 0.500
0.500 0.000 0.500
0.500 0.500 0.000

---

5.
InFe2Pt | Alexandria via LeMat-Bulk | PBE-GGA | optimized geometry; DFT total energy = -6.216 eV/atom
1.0
2.834 0.000 0.000
-1.417 2.454 0.000
0.000 0.000 26.454
In Fe Pt
3 6 3
direct
0.000 0.000 0.000
0.333 0.667 0.667
0.667 0.333 0.333
0.000 0.000 0.247
0.000 0.000 0.753
0.333 0.667 0.420
0.333 0.667 0.913
0.667 0.333 0.087
0.667 0.333 0.580
0.000 0.000 0.500
0.333 0.667 0.167
0.667 0.333 0.833

---

6.
InFe2Pt | Alexandria via LeMat-Bulk | PBE-GGA | optimized geometry; DFT total energy = -6.376 eV/atom
1.0
5.474 0.000 0.000
0.000 7.915 0.000
0.000 0.000 2.801
In Fe Pt
2 4 2
direct
0.000 0.000 0.000
0.500 0.500 0.000
0.250 0.250 0.500
0.250 0.750 0.500
0.750 0.250 0.500
0.750 0.750 0.500
0.000 0.500 0.000
0.500 0.000 0.000

---

7.
In2FePt | Alexandria via LeMat-Bulk | PBE-GGA | optimized geometry; DFT total energy = -4.746 eV/atom
1.0
7.478 0.000 0.000
0.000 7.478 0.000
0.000 0.000 5.669
In Fe Pt
8 4 4
direct
0.245 0.250 0.125
0.250 0.745 0.375
0.250 0.755 0.875
0.255 0.250 0.625
0.745 0.750 0.625
0.750 0.245 0.875
0.750 0.255 0.375
0.755 0.750 0.125
0.000 0.000 0.500
0.000 0.500 0.750
0.500 0.000 0.250
0.500 0.500 0.000
0.000 0.000 0.000
0.000 0.500 0.250
0.500 0.000 0.750
0.500 0.500 0.500

---

8.
In2FePt | Alexandria via LeMat-Bulk | PBE-GGA | optimized geometry; DFT total energy = -5.018 eV/atom
1.0
3.016 0.000 0.000
0.000 3.541 0.000
0.000 0.000 6.501
In Fe Pt
2 1 1
direct
0.000 0.000 0.241
0.000 0.000 0.759
0.500 0.500 0.000
0.500 0.500 0.500

---

9.
In2FePt | Alexandria via LeMat-Bulk | PBE-GGA | optimized geometry; DFT total energy = -5.030 eV/atom
1.0
10.938 0.000 0.000
0.000 2.967 0.000
-1.485 0.000 4.460
In Fe Pt
4 2 2
direct
0.000 0.000 0.000
0.206 0.000 0.628
0.500 0.500 0.000
0.706 0.500 0.628
0.240 0.500 0.143
0.740 0.000 0.143
0.440 0.000 0.459
0.940 0.500 0.459

---

10.
In2FePt | Alexandria via LeMat-Bulk | PBE-GGA | optimized geometry; DFT total energy = -4.964 eV/atom
1.0
3.374 0.000 0.000
0.000 3.374 0.000
0.000 0.000 6.552
In Fe Pt
2 1 1
direct
0.000 0.000 0.000
0.500 0.500 0.332
0.500 0.500 0.770
0.000 0.000 0.569

---

11.
InFe2Pt | Alexandria via LeMat-Bulk | PBE-GGA | optimized geometry; DFT total energy = -6.131 eV/atom
1.0
3.792 0.000 0.000
0.000 3.792 0.000
0.000 0.000 18.744
In Fe Pt
4 8 4
direct
0.000 0.000 0.000
0.000 0.500 0.250
0.500 0.000 0.750
0.500 0.500 0.500
0.224 0.250 0.625
0.250 0.724 0.875
0.250 0.776 0.375
0.276 0.250 0.125
0.724 0.750 0.125
0.750 0.224 0.375
0.750 0.276 0.875
0.776 0.750 0.625
0.000 0.000 0.500
0.000 0.500 0.750
0.500 0.000 0.250
0.500 0.500 0.000

---

12.
In2FePt9 | Alexandria via LeMat-Bulk | PBE-GGA | optimized geometry; DFT total energy = -6.018 eV/atom
1.0
4.012 0.000 0.000
0.000 4.012 0.000
0.000 0.000 11.990
In Fe Pt
2 1 9
direct
0.000 0.000 0.170
0.000 0.000 0.830
0.000 0.000 0.500
0.000 0.500 0.000
0.000 0.500 0.344
0.000 0.500 0.656
0.500 0.000 0.000
0.500 0.000 0.344
0.500 0.000 0.656
0.500 0.500 0.171
0.500 0.500 0.500
0.500 0.500 0.829

---

no.,energy of formation (eV per atom),V (Å³ per cell)
1,0.092,214.5
2,-0.061,119.9
3,-0.050,69.7
4,0.060,72.0
5,0.211,184.0
6,0.050,121.3
7,0.249,317.1
8,-0.023,69.4
9,-0.035,144.7
10,0.031,74.6
11,0.295,269.5
12,-0.326,193.0